Version A
Material: Tc5Se3
Method: DFT, PBE-GGA
State: relaxed

a = 5.3588 Å, b = 5.3588 Å, c = 4.4413 Å
α = 90.00°, β = 90.00°, γ = 109.07°
With the nearest neighbours (Å) after each atom.
Atoms (fractional coordinates):
Tc 0.0000 0.0000 0.0000  8 Tc 2.67-2.68
Tc 0.0000 0.5000 0.0000  6 Se 2.68-2.71, 2 Tc 2.68
Tc 0.2374 0.2374 0.5000  6 Se 2.59-2.77, 2 Tc 2.67
Tc 0.5000 0.0000 0.0000  6 Se 2.68-2.71, 2 Tc 2.68
Tc 0.7626 0.7626 0.5000  6 Se 2.59-2.77, 2 Tc 2.67
Se 0.2442 0.7558 0.5000  8 Tc 2.59-2.77
Se 0.5000 0.5000 0.0000  8 Tc 2.68-2.76
Se 0.7558 0.2442 0.5000  8 Tc 2.59-2.77

Properties
* space-group type: Cmmm, No. 65
* M_tot: 0.00 Bohr magnetons per cell
* calculated volume: 120.5 Å³ per cell

Version B
Material: Tc5Se3
Method: DFT, PBE-GGA
State: relaxed

a = 7.0465 Å, b = 7.0465 Å, c = 5.8206 Å
α = 90.00°, β = 90.00°, γ = 120.00°
With the nearest neighbours (Å) after each atom.
Atoms (fractional coordinates):
Tc 0.0000 0.2142 0.2500  3 Se 2.52-2.63, 2 Tc 2.61
Tc 0.0000 0.7858 0.7500  3 Se 2.52-2.63, 2 Tc 2.61
Tc 0.2142 0.0000 0.2500  3 Se 2.52-2.63, 2 Tc 2.61
Tc 0.2142 0.2142 0.7500  3 Se 2.52-2.63, 2 Tc 2.61
Tc 0.3333 0.6667 0.0000  6 Se 2.58
Tc 0.3333 0.6667 0.5000  6 Se 2.58
Tc 0.6667 0.3333 0.0000  6 Se 2.58
Tc 0.6667 0.3333 0.5000  6 Se 2.58
Tc 0.7858 0.0000 0.7500  3 Se 2.52-2.63, 2 Tc 2.61
Tc 0.7858 0.7858 0.2500  3 Se 2.52-2.63, 2 Tc 2.61
Se 0.0000 0.4125 0.7500  7 Tc 2.52-2.63
Se 0.0000 0.5875 0.2500  7 Tc 2.52-2.63
Se 0.4125 0.0000 0.7500  7 Tc 2.52-2.63
Se 0.4125 0.4125 0.2500  7 Tc 2.52-2.63
Se 0.5875 0.0000 0.2500  7 Tc 2.52-2.63
Se 0.5875 0.5875 0.7500  7 Tc 2.52-2.63

Properties
* space-group type: P6_3/mcm, No. 193
* M_tot: 0.00 Bohr magnetons per cell
* calculated volume: 250.3 Å³ per cell

Energy comparison, zero being the most stable, in meV/atom: version A 0; version B 219.

Version A
Material: Tc5Se
Method: DFT, PBE-GGA
State: relaxed

a = 2.9128 Å, b = 2.9128 Å, c = 10.4014 Å
α = 90.00°, β = 90.00°, γ = 90.00°
With the nearest neighbours (Å) after each atom.
Atoms (fractional coordinates):
Tc 0.0000 0.0000 0.0000  12 Tc 2.75-2.91
Tc 0.0000 0.0000 0.3415  4 Se 2.64, 8 Tc 2.69-2.91
Tc 0.0000 0.0000 0.6585  4 Se 2.64, 8 Tc 2.69-2.91
Tc 0.5000 0.5000 0.1745  12 Tc 2.69-2.91
Tc 0.5000 0.5000 0.8255  12 Tc 2.69-2.91
Se 0.5000 0.5000 0.5000  8 Tc 2.64, 4 Se 2.91

Properties
* space-group type: P4/mmm, No. 123
* M_tot: 0.00 Bohr magnetons per cell
* calculated volume: 88.2 Å³ per cell

Version B
Material: Tc5Se
Method: DFT, PBE-GGA
State: relaxed

a = 6.1114 Å, b = 6.1114 Å, c = 3.9445 Å
α = 90.00°, β = 90.00°, γ = 142.62°
With the nearest neighbours (Å) after each atom.
Atoms (fractional coordinates):
Tc 0.0000 0.0000 0.0000  8 Tc 2.78-2.84, 4 Se 2.78
Tc 0.1771 0.8229 0.5000  10 Tc 2.59-2.84, 2 Se 2.83
Tc 0.3298 0.6702 0.0000  10 Tc 2.65-2.78, 2 Se 2.79
Tc 0.6702 0.3298 0.0000  10 Tc 2.65-2.78, 2 Se 2.79
Tc 0.8229 0.1771 0.5000  10 Tc 2.59-2.84, 2 Se 2.83
Se 0.5000 0.5000 0.5000  12 Tc 2.78-2.83

Properties
* space-group type: Cmmm, No. 65
* M_tot: 0.00 Bohr magnetons per cell
* calculated volume: 89.4 Å³ per cell

Version C
Material: Tc5Se
Method: DFT, PBE-GGA
State: relaxed

a = 5.1355 Å, b = 5.1355 Å, c = 5.1355 Å
α = 60.00°, β = 60.00°, γ = 60.00°
With the nearest neighbours (Å) after each atom.
Atoms (fractional coordinates):
Tc 0.0000 0.0000 0.0000  12 Tc 3.01, 4 Se 3.14
Tc 0.1260 0.6247 0.6247  6 Tc 2.56-2.57
Tc 0.6247 0.1260 0.6247  6 Tc 2.56-2.57
Tc 0.6247 0.6247 0.1260  6 Tc 2.56-2.57
Tc 0.6247 0.6247 0.6247  6 Tc 2.56-2.57
Se 0.2500 0.2500 0.2500  16 Tc 3.01-3.14

Properties
* space-group type: F-43m, No. 216
* M_tot: 0.00 Bohr magnetons per cell
* calculated volume: 95.8 Å³ per cell

Energy comparison, zero being the most stable, in meV/atom: version A 0; version B 138; version C 556.

Version A
Material: Tc5Se
Method: DFT, PBE-GGA
State: relaxed

a = 5.2414 Å, b = 5.2414 Å, c = 6.4548 Å
α = 106.56°, β = 106.56°, γ = 32.00°
With the nearest neighbours (Å) after each atom.
Atoms (fractional coordinates):
Tc 0.0000 0.0000 0.0000  8 Tc 2.51-2.79
Tc 0.0479 0.0479 0.6400  8 Tc 2.51-2.73
Tc 0.3226 0.3226 0.6601  1 Se 2.56, 9 Tc 2.73-2.84
Tc 0.6239 0.6239 0.3528  1 Se 2.57, 6 Tc 2.64-2.77
Tc 0.7187 0.7187 0.9576  2 Se 2.60, 9 Tc 2.68-2.89
Se 0.3597 0.3597 0.2848  4 Tc 2.56-2.60

Properties
* space-group type: Cm, No. 8
* M_tot: 0.00 Bohr magnetons per cell
* calculated volume: 89.7 Å³ per cell

Version B
Material: Tc5Se
Method: DFT, PBE-GGA
State: relaxed

a = 4.7899 Å, b = 4.7899 Å, c = 4.4567 Å
α = 90.00°, β = 90.00°, γ = 120.00°
With the nearest neighbours (Å) after each atom.
Atoms (fractional coordinates):
Tc 0.0000 0.6601 0.0000  10 Tc 2.73-2.82, 2 Se 2.76
Tc 0.3333 0.6667 0.5000  9 Tc 2.73-2.77, 3 Se 2.77
Tc 0.3399 0.3399 0.0000  10 Tc 2.73-2.82, 2 Se 2.76
Tc 0.6601 0.0000 0.0000  10 Tc 2.73-2.82, 2 Se 2.76
Tc 0.6667 0.3333 0.5000  9 Tc 2.73-2.77, 3 Se 2.77
Se 0.0000 0.0000 0.5000  12 Tc 2.76-2.77

Properties
* space-group type: P-62m, No. 189
* M_tot: 0.00 Bohr magnetons per cell
* calculated volume: 88.6 Å³ per cell

Energy comparison, zero being the most stable, in meV/atom: version A 0; version B 85.